VASP calculation (GGA+U) on an optimized crystal structure of CaPaCoO6.

- DFT total energy (eV per cell) = -65.4
- crystal system = trigonal
- space-group type = P312 (149)

Lattice parameters (Å, degrees): 4.710 5.311 5.311 120.00 90.00 90.00
Last column: magnetic moment on the atom in μB.
Atoms (fractional coordinates):
Ca 0.500 0.667 0.333  0.00
Pa 0.000 0.333 0.667  -0.06
Co 0.500 0.000 0.000  1.11
O 0.734 0.695 0.723  0.13
O 0.734 0.277 0.972  0.13
O 0.734 0.028 0.305  0.13
O 0.266 0.277 0.305  0.13
O 0.266 0.695 0.972  0.13
O 0.266 0.028 0.723  0.13